[1]
KErP2Pd4 | PBE-GGA | relaxed

a b c (Å): 4.111 4.111 10.351
angles (deg): 90.00 90.00 90.00
Positions (direct):
K: 0.000 0.000 0.000
Er: 0.000 0.000 0.500
P: 0.500 0.500 0.194
P: 0.500 0.500 0.806
Pd: 0.000 0.500 0.303
Pd: 0.000 0.500 0.697
Pd: 0.500 0.000 0.303
Pd: 0.500 0.000 0.697

Properties
**Formation energy**: -596.7 meV per atom
**Final energy**: -5.25 eV/atom
**Space group**: No. 123

[2]
Al3Cr | PBE-GGA | relaxed

a b c (Å): 3.810 3.841 8.084
angles (deg): 90.00 90.00 90.00
Positions (direct):
Al: 0.000 0.000 0.000
Al: 0.000 0.500 0.271
Al: 0.000 0.500 0.729
Al: 0.500 0.000 0.271
Al: 0.500 0.000 0.729
Al: 0.500 0.500 0.000
Cr: 0.000 0.000 0.500
Cr: 0.500 0.500 0.500

Properties
**Formation energy**: 18.6 meV per atom
**Final energy**: -5.19 eV/atom
**Space group**: No. 65

[3]
PHRuS2 | PBE-GGA | relaxed

a b c (Å): 4.356 4.356 3.190
angles (deg): 90.00 90.00 90.00
Positions (direct):
P: 0.000 0.000 0.000
H: 0.000 0.000 0.500
Ru: 0.500 0.500 0.000
S: 0.000 0.500 0.500
S: 0.500 0.000 0.500

Properties
**Polymorph energy (0 for the lowest one)**: 0 meV/atom
**Final energy**: -4.49 eV/atom
**Space group**: No. 123

What is the final energy in the third record?
-4.49 eV/atom